[1]
Here is an optimized crystal structure of PrP12Ru4 from Alexandria via LeMat-Bulk. Energies are from GGA-PBE.

Cell: 7.018 7.018 7.018 Å, 109.47 109.47 109.47°
Positions (direct):
Pr  0.000  0.000  0.000
P  0.786  0.144  0.642
P  0.214  0.856  0.358
P  0.498  0.856  0.642
P  0.856  0.358  0.214
P  0.642  0.498  0.856
P  0.358  0.214  0.856
P  0.144  0.642  0.786
P  0.642  0.786  0.144
P  0.856  0.642  0.498
P  0.144  0.358  0.502
P  0.502  0.144  0.358
P  0.358  0.502  0.144
Ru  0.000  0.500  0.000
Ru  0.500  0.000  0.000
Ru  0.000  0.000  0.500
Ru  0.500  0.500  0.500

Results
total magnetization = 0.00 Bohr magnetons per cell
electronic total energy = -117.97 eV for the cell shown

---

[2]
Here is an optimized crystal structure of Pr2P7Ru12 from Alexandria via LeMat-Bulk. Energies are from GGA-PBE.

Cell: 3.976 9.488 9.488 Å, 120.00 90.00 90.00°
Positions (direct):
Pr  0.500  0.000  0.000
Pr  0.000  0.667  0.333
P  0.000  0.333  0.667
P  0.000  0.022  0.777
P  0.000  0.754  0.978
P  0.000  0.223  0.246
P  0.500  0.618  0.556
P  0.500  0.938  0.382
P  0.500  0.444  0.062
Ru  0.500  0.894  0.617
Ru  0.500  0.724  0.106
Ru  0.500  0.383  0.276
Ru  0.500  0.246  0.787
Ru  0.500  0.541  0.754
Ru  0.500  0.213  0.459
Ru  0.000  0.064  0.558
Ru  0.000  0.494  0.936
Ru  0.000  0.442  0.506
Ru  0.000  0.756  0.731
Ru  0.000  0.975  0.244
Ru  0.000  0.269  0.025

Results
total magnetization = 0.00 Bohr magnetons per cell
electronic total energy = -174.01 eV for the cell shown

---

[3]
Here is an optimized crystal structure of PrPRu from Alexandria via LeMat-Bulk. Energies are from GGA-PBE.

Cell: 4.027 4.027 7.749 Å, 90.00 90.00 90.00°
Positions (direct):
Pr  0.500  0.000  0.189
Pr  0.000  0.500  0.811
P  0.500  0.000  0.664
P  0.000  0.500  0.336
Ru  0.500  0.500  0.500
Ru  0.000  0.000  0.500

Results
total magnetization = 0.00 Bohr magnetons per cell
electronic total energy = -44.77 eV for the cell shown